Tb2YUO8, optimized geometry, DFT PBE; density = 8.19 g cm⁻³; energy relative to the elements, uncorrected = -3.27 eV per atom; final energy = -8.826 eV/atom
1.0
-3.1315 -0.1876 2.2643
1.3311 -4.9855 1.4233
4.0248 2.7275 5.7924
O Y U Tb
8 1 1 2
Direct
0.4996 0.2308 0.0000
0.5004 0.7692 0.0000
0.9997 0.2405 0.7724
0.9997 0.2405 0.2276
0.5000 0.2502 0.5000
0.0003 0.7595 0.7724
0.5000 0.7498 0.5000
0.0003 0.7595 0.2276
0.0000 0.0000 0.5000
0.0000 0.0000 0.0000
0.5000 0.5000 0.2500
0.5000 0.5000 0.7500